[1]
Below is a geometry-optimized Zr2BAs structure, with properties calculated at the PBE-GGA level.

Calculated values
* total magnetization: 0.01 μB/f.u.
* symmetry: P6_3/mmc (194)
* total energy: -7.963 eV per atom

Cell: 3.558 3.558 12.829 Å, 90.00 90.00 120.00°
Sites, in units of the cell vectors:
Zr: 0.333 0.667 0.105
Zr: 0.667 0.333 0.895
Zr: 0.333 0.667 0.395
Zr: 0.667 0.333 0.605
As: 0.667 0.333 0.250
As: 0.333 0.667 0.750
B: 0.000 0.000 0.000
B: 0.000 0.000 0.500

[2]
Below is a geometry-optimized AcLuZn structure, with properties calculated at the PBE-GGA level.

Calculated values
* total magnetization: 0.00 μB/f.u.
* symmetry: F-43m (216)
* calculated formation energy: 6.6 kJ/mol of atoms
* ΔE to the lowest computed polymorph: 0 meV/atom

Cell: 5.148 5.148 5.148 Å, 60.00 60.00 60.00°
Sites, in units of the cell vectors:
Lu: 0.750 0.750 0.750
Ac: 0.250 0.250 0.250
Zn: 0.000 0.000 0.000

[3]
Below is a geometry-optimized Na2AgSb structure, with properties calculated at the PBE-GGA level.

Calculated values
* symmetry: Amm2 (38)
* total energy: -2.762 eV per atom

Cell: 5.779 6.040 6.040 Å, 99.44 90.00 90.00°
Sites, in units of the cell vectors:
Na: 0.000 0.524 0.167
Na: 0.500 0.478 0.834
Na: 0.000 0.167 0.524
Na: 0.500 0.834 0.478
Ag: 0.751 0.999 0.999
Ag: 0.249 0.999 0.999
Sb: 0.500 0.295 0.295
Sb: 0.000 0.703 0.703

[4]
Below is a geometry-optimized BiPt124 structure, with properties calculated at the PBE-GGA level.

Calculated values
* total magnetization: 0.02 μB/f.u.
* symmetry: Fm-3m (225)
* total energy: -6.038 eV per atom

Cell: 14.047 14.047 14.047 Å, 60.00 60.00 60.00°
Sites, in units of the cell vectors:
Pt: 0.402 0.000 0.598
Pt: 0.599 0.200 0.200
Pt: 0.000 0.000 0.204
Pt: 0.598 0.000 0.402
Pt: 0.400 0.600 0.600
Pt: 0.200 0.599 0.000
Pt: 0.200 0.800 0.600
Pt: 0.796 0.000 0.204
Pt: 0.599 0.000 0.200
Pt: 0.200 0.200 0.400
Pt: 0.800 0.200 0.800
Pt: 0.200 0.400 0.200
Pt: 0.599 0.200 0.000
Pt: 0.600 0.400 0.400
Pt: 0.200 0.000 0.599
Pt: 0.200 0.800 0.800
Pt: 0.600 0.600 0.400
Pt: 0.600 0.800 0.800
Pt: 0.600 0.000 0.600
Pt: 0.000 0.200 0.200
Pt: 0.200 0.600 0.600
Pt: 0.000 0.800 0.600
Pt: 0.204 0.000 0.000
Pt: 0.600 0.600 0.600
Pt: 0.000 0.204 0.796
Pt: 0.600 0.800 0.600
Pt: 0.600 0.200 0.400
Pt: 0.200 0.400 0.600
Pt: 0.200 0.800 0.400
Pt: 0.400 0.800 0.200
Pt: 0.400 0.600 0.400
Pt: 0.800 0.400 0.600
Pt: 0.000 0.600 0.600
Pt: 0.200 0.200 0.200
Pt: 0.400 0.000 0.400
Pt: 0.796 0.000 0.000
Pt: 0.800 0.400 0.400
Pt: 0.000 0.000 0.402
Pt: 0.000 0.796 0.000
Pt: 0.800 0.800 0.000
Pt: 0.800 0.800 0.600
Pt: 0.000 0.800 0.401
Pt: 0.400 0.400 0.400
Pt: 0.400 0.400 0.000
Pt: 0.800 0.200 0.200
Pt: 0.000 0.200 0.400
Pt: 0.000 0.600 0.800
Pt: 0.600 0.000 0.800
Pt: 0.800 0.000 0.600
Pt: 0.600 0.800 0.200
Pt: 0.200 0.400 0.400
Pt: 0.000 0.400 0.200
Pt: 0.402 0.000 0.000
Pt: 0.000 0.402 0.598
Pt: 0.800 0.600 0.200
Pt: 0.000 0.598 0.402
Pt: 0.204 0.000 0.796
Pt: 0.000 0.598 0.000
Pt: 0.200 0.200 0.000
Pt: 0.401 0.000 0.800
Pt: 0.200 0.000 0.200
Pt: 0.000 0.204 0.000
Pt: 0.600 0.600 0.200
Pt: 0.600 0.600 0.000
Pt: 0.400 0.400 0.800
Pt: 0.598 0.402 0.000
Pt: 0.400 0.800 0.600
Pt: 0.200 0.400 0.800
Pt: 0.204 0.796 0.000
Pt: 0.000 0.401 0.800
Pt: 0.000 0.000 0.796
Pt: 0.400 0.600 0.800
Pt: 0.600 0.400 0.200
Pt: 0.600 0.600 0.800
Pt: 0.600 0.200 0.600
Pt: 0.400 0.200 0.000
Pt: 0.200 0.599 0.200
Pt: 0.800 0.600 0.600
Pt: 0.200 0.800 0.200
Pt: 0.200 0.000 0.400
Pt: 0.800 0.401 0.800
Pt: 0.000 0.796 0.204
Pt: 0.000 0.000 0.598
Pt: 0.800 0.800 0.800
Pt: 0.000 0.800 0.800
Pt: 0.400 0.200 0.800
Pt: 0.400 0.600 0.200
Pt: 0.800 0.401 0.000
Pt: 0.800 0.600 0.000
Pt: 0.796 0.204 0.000
Pt: 0.400 0.800 0.400
Pt: 0.800 0.600 0.800
Pt: 0.600 0.800 0.000
Pt: 0.200 0.200 0.599
Pt: 0.200 0.200 0.800
Pt: 0.200 0.400 0.000
Pt: 0.401 0.800 0.800
Pt: 0.400 0.000 0.200
Pt: 0.400 0.200 0.400
Pt: 0.600 0.800 0.400
Pt: 0.400 0.400 0.200
Pt: 0.400 0.200 0.600
Pt: 0.800 0.000 0.800
Pt: 0.800 0.400 0.200
Pt: 0.800 0.200 0.400
Pt: 0.000 0.599 0.200
Pt: 0.401 0.800 0.000
Pt: 0.400 0.200 0.200
Pt: 0.600 0.200 0.800
Pt: 0.800 0.200 0.600
Pt: 0.600 0.400 0.800
Pt: 0.000 0.402 0.000
Pt: 0.000 0.400 0.400
Pt: 0.800 0.800 0.401
Pt: 0.800 0.000 0.401
Pt: 0.600 0.400 0.600
Pt: 0.402 0.598 0.000
Pt: 0.800 0.800 0.200
Pt: 0.800 0.600 0.400
Pt: 0.000 0.200 0.599
Pt: 0.200 0.600 0.400
Pt: 0.400 0.400 0.600
Pt: 0.598 0.000 0.000
Pt: 0.200 0.600 0.800
Bi: 0.000 0.000 0.000

[5]
Below is a geometry-optimized Dy2Ho2CIBr4 structure, with properties calculated at the PBE-GGA level.

Calculated values
* total magnetization: 0.36 μB/f.u.
* symmetry: C2/m (12)
* total energy: -4.942 eV per atom

Cell: 9.063 9.063 8.444 Å, 103.23 103.23 24.49°
Each line ends with the local moment (μB).
Sites, in units of the cell vectors:
Br: 0.830 0.830 0.163  0.00
Br: 0.170 0.170 0.837  0.00
Br: 0.165 0.165 0.329  0.00
Br: 0.835 0.835 0.671  0.00
C: 0.500 0.500 0.000  0.00
Dy: 0.639 0.639 0.072  0.08
Dy: 0.361 0.361 0.928  0.08
I: 0.500 0.500 0.500  0.00
Ho: 0.999 0.999 0.191  0.03
Ho: 0.001 0.001 0.809  0.03

[6]
Below is a geometry-optimized PrNiP2Pd structure, with properties calculated at the PBE-GGA level.

Calculated values
* total magnetization: 0.00 μB/f.u.
* symmetry: I-4m2 (119)
* total energy: -6.197 eV per atom

Cell: 5.690 5.690 5.690 Å, 137.91 137.91 61.04°
Sites, in units of the cell vectors:
P: 0.619 0.619 0.000
P: 0.381 0.381 0.000
Pd: 0.250 0.750 0.500
Pr: 0.000 0.000 0.000
Ni: 0.750 0.250 0.500